# 1
The following is a DFT calculation (meta-GGA SCAN) of Pb2Se at its PBEsol-relaxed geometry.

Lattice parameters (Å, degrees): 3.7815 5.2267 8.3691 90.00 103.06 90.00
Last column: nearest neighbours and their distance in Å.
Atoms (fractional coordinates):
Se 0.0849 0.7500 0.1697  8 Pb 3.00-3.23
Pb 0.7281 0.7500 0.4562  2 Se 3.00, 4 Pb 3.30
Pb 0.2719 0.2500 0.5438  2 Se 3.00, 4 Pb 3.30
Pb 0.5753 0.2500 0.1506  6 Se 3.22-3.23, 4 Pb 3.59-3.61
Se 0.9151 0.2500 0.8303  8 Pb 3.00-3.23
Pb 0.4247 0.7500 0.8494  6 Se 3.22-3.23, 4 Pb 3.59-3.61

## Properties
As for the space group: Cmcm. The value obtained for the total magnetic moment is 0.00 μB/cell. The density of states at the Fermi level is 2.51 states/eV/cell. The uncorrected formation energy is -0.16 eV per atom.

***

# 2
The following is a DFT calculation (meta-GGA SCAN) of CdN2O2 at its PBEsol-relaxed geometry.

Lattice parameters (Å, degrees): 2.7539 2.7539 6.5004 102.23 102.23 90.00
Last column: nearest neighbours and their distance in Å.
Atoms (fractional coordinates):
O 0.6064 0.6064 0.2128  4 N 2.25, 4 Cd 2.35
N 0.2500 0.7500 0.5000  4 N 1.95
Cd 0.0000 0.0000 0.0000  8 O 2.35
N 0.7500 0.2500 0.5000  4 N 1.95
O 0.3936 0.3936 0.7872  4 N 2.25, 4 Cd 2.35

## Properties
As for the space group: I4/mmm. The value obtained for the total magnetic moment is 0.00 μB/cell. The density of states at the Fermi level is 1.60 states/eV/cell. The uncorrected formation energy is 1.74 eV per atom.

***

# 3
The following is a DFT calculation (meta-GGA SCAN) of CsIBrN2 at its PBEsol-relaxed geometry.

Lattice parameters (Å, degrees): 4.8967 4.8967 7.5113 90.00 90.00 90.00
Last column: nearest neighbours and their distance in Å.
Atoms (fractional coordinates):
N 0.0000 0.5000 0.0000  2 Cs 2.45
Br 0.5000 0.5000 0.5000  4 I 3.46
N 0.5000 0.0000 0.0000  2 Cs 2.45
Cs 0.0000 0.0000 0.0000  4 N 2.45
I 0.0000 0.0000 0.5000  4 Br 3.46, 2 Cs 3.76

## Properties
As for the space group: P4/mmm. The value obtained for the total magnetic moment is 5.58 μB/cell. The density of states at the Fermi level is 3.30 states/eV/cell. The uncorrected formation energy is 1.87 eV per atom.

***

# 4
The following is a DFT calculation (meta-GGA SCAN) of TlOsPb2 at its PBEsol-relaxed geometry.

Lattice parameters (Å, degrees): 3.2787 3.2787 8.6570 90.00 90.00 90.00
Last column: nearest neighbours and their distance in Å.
Atoms (fractional coordinates):
Pb 0.5000 0.5000 0.2601  8 Pb 3.28-3.61, 4 Tl 3.43
Pb 0.0000 0.0000 0.9409  4 Os 2.86
Os 0.5000 0.5000 0.7470  4 Pb 2.86, 4 Tl 2.87
Tl 0.0000 0.0000 0.5520  4 Os 2.87

## Properties
As for the space group: P4mm. For the energy relative to the elements, the calculation gives 0.66 eV/atom. The value obtained for the total magnetic moment is 0.00 μB/cell. The density of states at the Fermi level is 2.17 states/eV/cell.

***

# 5
The following is a DFT calculation (meta-GGA SCAN) of Y2ScCu2 at its PBEsol-relaxed geometry.

Lattice parameters (Å, degrees): 3.5668 7.6842 7.6842 90.00 90.00 90.00
Last column: nearest neighbours and their distance in Å.
Atoms (fractional coordinates):
Cu 0.0000 0.8771 0.6229  1 Cu 2.67, 6 Y 2.88-2.89
Cu 0.0000 0.3771 0.8771  1 Cu 2.67, 6 Y 2.88-2.89
Sc 0.0000 0.5000 0.5000  4 Cu 3.05, 8 Y 3.37
Y 0.5000 0.8306 0.3306  6 Cu 2.88-2.89
Y 0.5000 0.3306 0.1694  6 Cu 2.88-2.89
Sc 0.0000 0.0000 0.0000  4 Cu 3.05, 8 Y 3.37
Y 0.5000 0.6694 0.8306  6 Cu 2.88-2.89
Cu 0.0000 0.1229 0.3771  1 Cu 2.67, 6 Y 2.88-2.89
Y 0.5000 0.1694 0.6694  6 Cu 2.88-2.89
Cu 0.0000 0.6229 0.1229  1 Cu 2.67, 6 Y 2.88-2.89

## Properties
As for the space group: P4/mbm. For the energy relative to the elements, the calculation gives -0.20 eV/atom. The value obtained for the total magnetic moment is 0.27 μB/cell. The density of states at the Fermi level is 14.12 states/eV/cell.

***

# 6
The following is a DFT calculation (meta-GGA SCAN) of TaSiIr2 at its PBEsol-relaxed geometry.

Lattice parameters (Å, degrees): 2.8389 2.8389 7.0169 90.00 90.00 90.00
Last column: nearest neighbours and their distance in Å.
Atoms (fractional coordinates):
Ta 0.5000 0.5000 0.5000  4 Ta 2.84, 8 Ir 2.85
Ir 0.0000 0.0000 0.2112  4 Si 2.50
Si 0.5000 0.5000 0.0000  8 Ir 2.50
Ir 0.0000 0.0000 0.7888  4 Si 2.50

## Properties
As for the space group: P4/mmm. The value obtained for the total magnetic moment is 0.00 μB/cell. The density of states at the Fermi level is 1.34 states/eV/cell. The uncorrected formation energy is -0.82 eV per atom.

***

# 7
The following is a DFT calculation (meta-GGA SCAN) of Ca3CdAu at its PBEsol-relaxed geometry.

Lattice parameters (Å, degrees): 5.5818 5.5818 5.5818 90.00 90.00 90.00
Last column: nearest neighbours and their distance in Å.
Atoms (fractional coordinates):
Ca 0.0000 0.5000 0.0000  2 Au 2.79
Ca 0.0000 0.0000 0.5000  2 Au 2.79
Ca 0.5000 0.0000 0.0000  2 Au 2.79
Cd 0.5000 0.5000 0.5000  12 Ca 3.95
Au 0.0000 0.0000 0.0000  6 Ca 2.79

## Properties
As for the space group: Pm-3m. For the energy relative to the elements, the calculation gives -0.40 eV/atom. The value obtained for the total magnetic moment is 0.00 μB/cell. The density of states at the Fermi level is 3.61 states/eV/cell.

***

# 8
The following is a DFT calculation (meta-GGA SCAN) of LiNbFeO4 at its PBEsol-relaxed geometry.

Lattice parameters (Å, degrees): 5.9843 5.9843 8.5424 90.00 90.00 90.00
Last column: nearest neighbours and their distance in Å.
Atoms (fractional coordinates):
O 0.4992 0.2533 0.2445  1 Nb 1.90, 2 Fe 2.07-2.09
Nb 0.7552 0.7552 0.1250  4 O 1.87-1.90
O 0.9855 0.7443 0.7525  1 Nb 1.87, 1 Li 2.06, 1 Fe 2.06
O 0.9855 0.2557 0.7475  1 Nb 1.87, 1 Li 2.06, 1 Fe 2.06
Nb 0.7552 0.2448 0.3750  4 O 1.87-1.90
O 0.2533 0.5008 0.4945  1 Nb 1.90, 2 Fe 2.07-2.09
O 0.7467 0.5008 0.5055  1 Nb 1.90, 2 Fe 2.07-2.09
Nb 0.2448 0.2448 0.6250  4 O 1.87-1.90
O 0.0145 0.2557 0.2525  1 Nb 1.87, 1 Li 2.06, 1 Fe 2.06
Fe 0.5000 0.2577 0.0000  6 O 2.06-2.09
Li 0.7559 0.0000 0.7500  6 O 2.06-2.16
Fe 0.7423 0.5000 0.7500  6 O 2.06-2.09
O 0.2557 0.0145 0.9975  1 Nb 1.87, 1 Li 2.06, 1 Fe 2.06
Fe 0.2577 0.5000 0.2500  6 O 2.06-2.09
O 0.2533 0.4992 0.0055  1 Nb 1.90, 2 Fe 2.07-2.09
Fe 0.5000 0.7423 0.5000  6 O 2.06-2.09
O 0.5008 0.7467 0.7445  1 Nb 1.90, 2 Fe 2.07-2.09
Li 0.2441 0.0000 0.2500  6 O 2.06-2.16
Nb 0.2448 0.7552 0.8750  4 O 1.87-1.90
O 0.2557 0.9855 0.5025  1 Nb 1.87, 1 Li 2.06, 1 Fe 2.06
Li 0.0000 0.7559 0.5000  6 O 2.06-2.16
O 0.4992 0.7467 0.2555  1 Nb 1.90, 2 Fe 2.07-2.09
Li 0.0000 0.2441 0.0000  6 O 2.06-2.16
O 0.5008 0.2533 0.7555  1 Nb 1.90, 2 Fe 2.07-2.09
O 0.7443 0.9855 0.4975  1 Nb 1.87, 1 Li 2.06, 1 Fe 2.06
O 0.0145 0.7443 0.2475  1 Nb 1.87, 1 Li 2.06, 1 Fe 2.06
O 0.7467 0.4992 0.9945  1 Nb 1.90, 2 Fe 2.07-2.09
O 0.7443 0.0145 0.0025  1 Nb 1.87, 1 Li 2.06, 1 Fe 2.06

## Properties
As for the space group: P4_322. The value obtained for the total magnetic moment is 16.00 μB/cell. The density of states at the Fermi level is 2.82 states/eV/cell. The uncorrected formation energy is -2.25 eV per atom.

***

# 9
The following is a DFT calculation (meta-GGA SCAN) of NaSn4P3O12 at its PBEsol-relaxed geometry.

Lattice parameters (Å, degrees): 9.5150 9.5150 9.7636 60.84 60.84 60.00
Last column: nearest neighbours and their distance in Å.
Atoms (fractional coordinates):
P 0.3472 0.9106 0.2917  4 O 1.55-1.56
Sn 0.8114 0.8114 0.5658  3 O 2.12
Sn 0.2452 0.6977 0.6721  3 O 2.13-2.14
O 0.8828 0.4291 0.1601  1 P 1.55
Na 0.6615 0.6615 0.0154  9 O 2.55-2.82
Sn 0.6977 0.3850 0.6721  3 O 2.13-2.14
P 0.9106 0.4505 0.2917  4 O 1.55-1.56
P 0.4106 0.8472 0.7917  4 O 1.55-1.56
Sn 0.7452 0.8850 0.1721  3 O 2.13-2.14
O 0.5984 0.7287 0.7319  1 P 1.55
Sn 0.8850 0.1977 0.1721  3 O 2.13-2.14
O 0.4411 0.2287 0.2319  1 P 1.55
Sn 0.1977 0.7452 0.1721  3 O 2.13-2.14
O 0.3053 0.3614 0.4587  1 P 1.56
P 0.4505 0.3472 0.2917  4 O 1.55-1.56
O 0.8053 0.3746 0.9587  1 P 1.56
O 0.0984 0.4411 0.2319  1 P 1.55
Sn 0.3850 0.2452 0.6721  3 O 2.13-2.14
P 0.9505 0.4106 0.7917  4 O 1.55-1.56
O 0.1229 0.2857 0.8236  1 P 1.55
P 0.8472 0.9505 0.7917  4 O 1.55-1.56
O 0.7287 0.9411 0.7319  1 P 1.55
O 0.2287 0.0984 0.2319  1 P 1.55
O 0.2857 0.7677 0.8236  1 P 1.55
O 0.7677 0.1229 0.8236  1 P 1.55
O 0.9291 0.3828 0.6601  1 P 1.55
O 0.2677 0.7857 0.3236  1 P 1.55
O 0.3614 0.8746 0.4587  1 P 1.56
O 0.8614 0.8053 0.9587  1 P 1.56
O 0.3746 0.8614 0.9587  1 P 1.56
O 0.0280 0.9291 0.6601  1 P 1.55
Na 0.1615 0.1615 0.5154  9 O 2.55-2.82
O 0.7857 0.6229 0.3236  1 P 1.55
O 0.8746 0.3053 0.4587  1 P 1.56
O 0.4291 0.5280 0.1601  1 P 1.55
O 0.9411 0.5984 0.7319  1 P 1.55
O 0.5280 0.8828 0.1601  1 P 1.55
O 0.6229 0.2677 0.3236  1 P 1.55
O 0.3828 0.0280 0.6601  1 P 1.55
Sn 0.3114 0.3114 0.0658  3 O 2.12

## Properties
As for the space group: R3c. The value obtained for the total magnetic moment is 0.00 μB/cell. The density of states at the Fermi level is 0.00 states/eV/cell. The uncorrected formation energy is -2.09 eV per atom.

***

# 10
The following is a DFT calculation (meta-GGA SCAN) of ScTiSn2 at its PBEsol-relaxed geometry.

Lattice parameters (Å, degrees): 4.8897 4.8897 4.8897 60.00 60.00 60.00
Last column: nearest neighbours and their distance in Å.
Atoms (fractional coordinates):
Sn 0.7500 0.7500 0.7500  4 Sc 2.99, 4 Ti 2.99
Sn 0.2500 0.2500 0.2500  4 Sc 2.99, 4 Ti 2.99
Sc 0.0000 0.0000 0.0000  8 Sn 2.99
Ti 0.5000 0.5000 0.5000  8 Sn 2.99

## Properties
As for the space group: Fm-3m. For the energy relative to the elements, the calculation gives -0.36 eV/atom. The value obtained for the total magnetic moment is 2.34 μB/cell. The density of states at the Fermi level is 3.96 states/eV/cell.